# 1
This record from Alexandria via LeMat-Bulk describes crystalline Sr3Li8Ca at its relaxed geometry. The functional is PBE.

a b c (Å): 6.4553 6.4553 30.9788
angles (deg): 90.00 90.00 120.00
Last column: nearest neighbours and their distance in Å.
Space group R3m (No. 160, hexagonal axes)
Symmetry-distinct sites (fractional):
Sr: 0.0000 0.0000 0.0000 (multiplicity 3)  12 Li 3.63-3.78, 3 Ca 3.91, 1 Sr 3.95
Sr: 0.0000 0.0000 0.1275 (multiplicity 3)  12 Li 3.76-3.79, 4 Sr 3.95-3.97
Sr: 0.0000 0.0000 0.5046 (multiplicity 3)  12 Li 3.75-3.82, 1 Ca 3.83, 3 Sr 3.97
Li: 0.0000 0.0000 0.3139 (multiplicity 3)  6 Li 3.11-3.18
Li: 0.0000 0.0000 0.8157 (multiplicity 3)  6 Li 3.21-3.23
Li: 0.1675 0.3350 0.3969 (multiplicity 9)  6 Li 3.18-3.24
Li: 0.1679 0.3359 0.8998 (multiplicity 9)  6 Li 3.11-3.25
Ca: 0.0000 0.0000 0.6284 (multiplicity 3)  12 Li 3.66-3.77, 4 Sr 3.83-3.91

Values from the calculation:
Formation enthalpy at 0 K ... 0.011 eV per atom
Uncorrected energy ... -1.85 eV per atom
Size of the total moment ... 0.00 Bohr magnetons per cell

---

# 2
This record from Alexandria via LeMat-Bulk describes crystalline SrLi3Ca at its relaxed geometry. The functional is PBE.

a b c (Å): 6.6111 8.1900 11.9620
angles (deg): 90.00 90.00 90.00
Last column: nearest neighbours and their distance in Å.
Space group Pnma (No. 62)
Symmetry-distinct sites (fractional):
Sr: 0.0000 0.0000 0.0000 (multiplicity 4)  6 Li 3.42-3.59, 2 Ca 3.82
Li: 0.1185 0.2500 0.2380 (multiplicity 4)  6 Li 2.96-3.32, 1 Ca 3.22
Li: 0.1769 0.0719 0.7357 (multiplicity 8)  2 Li 2.92-2.96
Ca: 0.0120 0.7500 0.5030 (multiplicity 4)  3 Li 3.22-3.44

Values from the calculation:
Formation enthalpy at 0 K ... 0.090 eV per atom
Uncorrected energy ... -1.80 eV per atom
Size of the total moment ... 0.00 Bohr magnetons per cell

---

# 3
This record from Alexandria via LeMat-Bulk describes crystalline Sr5LiCa at its relaxed geometry. The functional is PBE.

a b c (Å): 5.9241 5.9241 10.0184
angles (deg): 90.00 90.00 90.00
Last column: nearest neighbours and their distance in Å.
Space group P4/mmm (No. 123)
Symmetry-distinct sites (fractional):
Sr: 0.0000 0.0000 0.0000 (multiplicity 1)  8 Sr 4.17, 4 Ca 4.19
Sr: 0.0000 0.5000 0.2931 (multiplicity 4)  2 Li 3.62
Li: 0.0000 0.0000 0.5000 (multiplicity 1)  8 Sr 3.62
Ca: 0.5000 0.5000 0.0000 (multiplicity 1)  12 Sr 4.17-4.19

Values from the calculation:
Formation enthalpy at 0 K ... 0.079 eV per atom
Uncorrected energy ... -1.68 eV per atom
Size of the total moment ... 0.00 Bohr magnetons per cell